Material: MgGa2Co
Method: DFT, PBE
State: relaxed

a = 5.9326 Å, b = 5.9326 Å, c = 11.1474 Å
α = 90.00°, β = 90.00°, γ = 90.00°
Last column: nearest neighbours and their distance in Å.
Space group I-42d (No. 122)
Inequivalent atoms, fractional coordinates:
Mg1 0.0000 0.0000 0.0000 (multiplicity 4)  4 Ga 2.86
Ga1 0.1612 0.2500 0.6250 (multiplicity 8)  2 Co 2.25
Co1 0.0000 0.0000 0.5000 (multiplicity 4)  4 Ga 2.25

Results
N(E_F) (states/eV per cell): 9.562
Calculated formation energy (meV per atom): 496
Calculated volume (Å³/cell): 392.34